No. 1
A plane-wave DFT calculation with PBE was carried out for a geometry-optimized Sr5S7 structure.

Crystal system: triclinic

a = 4.407 Å, b = 8.342 Å, c = 12.236 Å
α = 125.84°, β = 89.98°, γ = 105.35°
Positions (direct):
1 Sr 0.083 0.166 0.411
2 Sr 0.303 0.607 0.179
3 Sr 0.917 0.834 0.589
4 Sr 0.697 0.393 0.821
5 Sr 0.000 0.000 0.000
6 S 0.688 0.375 0.357
7 S 0.108 0.217 0.875
8 S 0.892 0.783 0.125
9 S 0.500 0.000 0.500
10 S 0.660 0.320 0.165
11 S 0.340 0.680 0.835
12 S 0.312 0.625 0.643

No. 2
A plane-wave DFT calculation with PBE was carried out for a geometry-optimized Sr6S5 structure.

Crystal system: monoclinic

a = 7.432 Å, b = 7.429 Å, c = 7.428 Å
α = 120.01°, β = 99.61°, γ = 70.50°
Positions (direct):
1 Sr 0.251 0.250 0.000
2 Sr 0.250 0.583 0.666
3 Sr 0.250 0.917 0.334
4 Sr 0.750 0.083 0.666
5 Sr 0.749 0.750 0.000
6 Sr 0.750 0.417 0.334
7 S 0.500 0.500 0.000
8 S 0.000 0.334 0.667
9 S 0.000 0.666 0.333
10 S 0.500 0.833 0.665
11 S 0.500 0.167 0.335

No. 3
A plane-wave DFT calculation with PBE was carried out for a geometry-optimized SrS2 structure.

Crystal system: tetragonal

a = 5.819 Å, b = 5.819 Å, c = 5.819 Å
α = 116.32°, β = 116.32°, γ = 96.51°
Positions (direct):
1 S 0.878 0.378 0.256
2 S 0.378 0.122 0.500
3 S 0.622 0.878 0.500
4 S 0.122 0.622 0.744
5 Sr 0.750 0.750 0.000
6 Sr 0.250 0.250 0.000

No. 4
A plane-wave DFT calculation with PBE was carried out for a geometry-optimized SrS5 structure.

Crystal system: monoclinic

a = 4.841 Å, b = 10.735 Å, c = 8.009 Å
α = 90.00°, β = 90.00°, γ = 130.81°
Positions (direct):
1 S 0.840 0.029 0.542
2 S 0.160 0.971 0.458
3 S 0.568 0.873 0.750
4 S 0.840 0.029 0.958
5 S 0.432 0.127 0.250
6 S 0.952 0.389 0.508
7 S 0.952 0.389 0.992
8 S 0.048 0.611 0.008
9 S 0.160 0.971 0.042
10 S 0.048 0.611 0.492
11 Sr 0.533 0.607 0.250
12 Sr 0.467 0.393 0.750

No. 5
A plane-wave DFT calculation with PBE was carried out for a geometry-optimized Sr4S structure.

Crystal system: cubic

a = 6.071 Å, b = 6.071 Å, c = 6.071 Å
α = 90.00°, β = 90.00°, γ = 90.00°
Positions (direct):
1 Sr 0.000 0.500 0.500
2 Sr 0.000 0.000 0.000
3 Sr 0.500 0.000 0.500
4 Sr 0.500 0.500 0.000
5 S 0.500 0.500 0.500

No. 6
A plane-wave DFT calculation with PBE was carried out for a geometry-optimized SrS3 structure.

Crystal system: monoclinic

a = 4.477 Å, b = 5.852 Å, c = 8.932 Å
α = 108.71°, β = 90.00°, γ = 90.00°
Positions (direct):
1 Sr 0.750 0.699 0.395
2 Sr 0.250 0.301 0.605
3 S 0.750 0.612 0.894
4 S 0.750 0.284 0.896
5 S 0.750 0.195 0.387
6 S 0.250 0.716 0.104
7 S 0.250 0.805 0.613
8 S 0.250 0.388 0.106

No. 7
A plane-wave DFT calculation with PBE was carried out for a geometry-optimized SrS3 structure.

Crystal system: orthorhombic

a = 5.439 Å, b = 5.439 Å, c = 7.009 Å
α = 90.00°, β = 90.00°, γ = 95.99°
Positions (direct):
1 S 0.467 0.467 0.000
2 S 0.304 0.975 0.358
3 S 0.475 0.804 0.858
4 S 0.967 0.967 0.500
5 S 0.804 0.475 0.142
6 S 0.975 0.304 0.642
7 Sr 0.997 0.997 0.000
8 Sr 0.497 0.497 0.500

No. 8
A plane-wave DFT calculation with PBE was carried out for a geometry-optimized SrTa4S8 structure.

E above lowest polymorph in meV per atom: 0.0
Crystal system: monoclinic

a = 6.824 Å, b = 6.824 Å, c = 8.135 Å
α = 99.35°, β = 105.38°, γ = 119.35°
Positions (direct):
1 S 0.213 0.025 0.238
2 S 0.787 0.975 0.762
3 S 0.692 0.008 0.207
4 S 0.323 0.502 0.825
5 S 0.199 0.515 0.207
6 S 0.308 0.992 0.793
7 S 0.677 0.498 0.175
8 S 0.801 0.485 0.793
9 Ta 0.209 0.209 0.000
10 Ta 0.236 0.769 0.005
11 Ta 0.764 0.231 0.995
12 Ta 0.791 0.791 0.000
13 Sr 0.000 0.500 0.500

No. 9
A plane-wave DFT calculation with PBE was carried out for a geometry-optimized Sr2TaS4 structure.

Crystal system: monoclinic

a = 7.121 Å, b = 6.770 Å, c = 8.179 Å
α = 90.00°, β = 107.03°, γ = 90.00°
Site moments in Bohr magnetons follow the coordinates.
Positions (direct):
1 Sr 0.747 0.750 0.563  0.03
2 Sr 0.287 0.250 0.947  0.03
3 Sr 0.253 0.250 0.437  0.03
4 Sr 0.713 0.750 0.053  0.03
5 S 0.931 0.250 0.092  -0.01
6 S 0.508 0.496 0.745  0.01
7 S 0.492 0.996 0.255  0.01
8 S 0.061 0.750 0.379  -0.01
9 S 0.508 0.004 0.745  0.01
10 S 0.939 0.250 0.621  -0.01
11 S 0.069 0.750 0.908  -0.01
12 S 0.492 0.504 0.255  0.01
13 Ta 0.754 0.250 0.808  0.52
14 Ta 0.246 0.750 0.192  0.52

No. 10
A plane-wave DFT calculation with PBE was carried out for a geometry-optimized Sr17Ta10S42 structure.

E above lowest polymorph in meV per atom: 5.9
Crystal system: triclinic

a = 12.330 Å, b = 12.343 Å, c = 12.392 Å
α = 96.30°, β = 95.96°, γ = 96.43°
Positions (direct):
1 Sr 0.611 0.236 0.366
2 Sr 0.581 0.710 0.955
3 Sr 0.371 0.736 0.600
4 Sr 0.077 0.941 0.701
5 Sr 0.286 0.056 0.420
6 Sr 0.916 0.052 0.270
7 Sr 0.939 0.698 0.077
8 Sr 0.274 0.909 0.042
9 Sr 0.953 0.586 0.718
10 Sr 0.601 0.372 0.745
11 Sr 0.698 0.079 0.943
12 Sr 0.716 0.956 0.587
13 Sr 0.055 0.420 0.288
14 Sr 0.740 0.604 0.375
15 Sr 0.374 0.605 0.230
16 Sr 0.237 0.371 0.612
17 Sr 0.040 0.271 0.905
18 S 0.171 0.842 0.502
19 S 0.210 0.126 0.983
20 S 0.998 0.218 0.127
21 S 0.314 0.895 0.796
22 S 0.662 0.233 0.132
23 S 0.794 0.314 0.899
24 S 0.235 0.128 0.658
25 S 0.039 0.815 0.894
26 S 0.167 0.248 0.386
27 S 0.651 0.858 0.787
28 S 0.980 0.579 0.464
29 S 0.606 0.712 0.200
30 S 0.134 0.995 0.210
31 S 0.712 0.201 0.601
32 S 0.900 0.801 0.312
33 S 0.523 0.447 0.315
34 S 0.507 0.591 0.729
35 S 0.198 0.603 0.712
36 S 0.438 0.290 0.519
37 S 0.129 0.658 0.234
38 S 0.276 0.380 0.860
39 S 0.379 0.174 0.248
40 S 0.292 0.519 0.438
41 S 0.593 0.730 0.510
42 S 0.338 0.672 0.003
43 S 0.942 0.053 0.521
44 S 0.819 0.898 0.041
45 S 0.380 0.858 0.279
46 S 0.861 0.283 0.379
47 S 0.839 0.503 0.173
48 S 0.729 0.509 0.595
49 S 0.784 0.652 0.860
50 S 0.675 0.003 0.339
51 S 0.893 0.040 0.815
52 S 0.002 0.342 0.672
53 S 0.049 0.521 0.942
54 S 0.573 0.463 0.984
55 S 0.505 0.167 0.835
56 S 0.251 0.377 0.173
57 S 0.463 0.976 0.572
58 S 0.524 0.938 0.053
59 S 0.859 0.785 0.651
60 Ta 0.717 0.382 0.050
61 Ta 0.357 0.355 0.357
62 Ta 0.384 0.045 0.720
63 Ta 0.182 0.175 0.160
64 Ta 0.884 0.223 0.546
65 Ta 0.219 0.547 0.882
66 Ta 0.856 0.858 0.860
67 Ta 0.048 0.724 0.381
68 Ta 0.549 0.883 0.222
69 Ta 0.670 0.671 0.671

No. 11
A plane-wave DFT calculation with PBE was carried out for a geometry-optimized SrTa3S structure.

E above lowest polymorph in meV per atom: 0.0
Crystal system: cubic

a = 4.752 Å, b = 4.752 Å, c = 4.752 Å
α = 90.00°, β = 90.00°, γ = 90.00°
Positions (direct):
1 Sr 0.500 0.500 0.500
2 Ta 0.000 0.000 0.500
3 Ta 0.500 0.000 0.000
4 Ta 0.000 0.500 0.000
5 S 0.000 0.000 0.000

No. 12
A plane-wave DFT calculation with PBE was carried out for a geometry-optimized SrTa4S8 structure.

E above lowest polymorph in meV per atom: 145.1
Crystal system: cubic

a = 7.353 Å, b = 7.353 Å, c = 7.353 Å
α = 60.00°, β = 60.00°, γ = 60.00°
Positions (direct):
1 S 0.602 0.602 0.193
2 S 0.602 0.193 0.602
3 S 0.602 0.602 0.602
4 S 0.193 0.602 0.602
5 S 0.122 0.633 0.122
6 S 0.122 0.122 0.633
7 S 0.122 0.122 0.122
8 S 0.633 0.122 0.122
9 Ta 0.356 0.356 0.931
10 Ta 0.356 0.931 0.356
11 Ta 0.931 0.356 0.356
12 Ta 0.356 0.356 0.356
13 Sr 0.750 0.750 0.750

The calculation returns the following total energy values, one per record and in order: -0.3523; -0.3462; -0.3453; -0.3145; -0.2137; -0.3209; -0.3333; -0.5532; -0.4429; -0.4555; -0.5722; -0.5425 Ry/atom.